A plane-wave DFT calculation with PBE was carried out for Pm2ThAu6 after structural relaxation.

a = 8.577 Å, b = 8.577 Å, c = 8.577 Å
α = 155.43°, β = 125.45°, γ = 60.69°
Element x y z (fractional)
Pm  0.142  0.142  0.000
Pm  0.858  0.858  0.000
Th  0.500  0.000  0.500
Au  0.143  0.324  0.819
Au  0.183  0.500  0.683
Au  0.494  0.676  0.819
Au  0.506  0.324  0.181
Au  0.817  0.500  0.317
Au  0.857  0.676  0.181

Calculated values
The energy of formation comes out at -0.680 eV per atom. Its space group is Immm, No. 71. Its total magnetic moment is 0.0 μB per formula unit.